The following is a DFT calculation (PBE) of KMoCl after structural relaxation.

Computed properties:
- DFT total energy: -12.218 eV per cell
- ΔE_f (raw): 0.519 eV/atom

Unit cell a=7.8486 b=7.5790 c=3.1094 alpha=83.29 beta=73.54 gamma=23.17
With the nearest neighbours (Å) after each atom.
Element x y z (fractional)
K1 0.0000 0.0000 0.0000  2 Cl 2.99, 6 K 3.11-3.32
Mo1 0.7023 0.7023 0.2977  2 Cl 2.53
Cl1 0.3319 0.3319 0.6681  2 Mo 2.53

***

The following is a DFT calculation (PBE) of KMoCl2 after structural relaxation.

Computed properties:
- DFT total energy: -16.287 eV per cell
- ΔE_f (raw): -0.166 eV/atom

Unit cell a=5.1955 b=5.1955 c=5.1955 alpha=60.00 beta=60.00 gamma=60.00
With the nearest neighbours (Å) after each atom.
Element x y z (fractional)
K1 0.0000 0.0000 0.0000  8 Cl 3.18
Mo1 0.5000 0.5000 0.5000  8 Cl 3.18
Cl1 0.2500 0.2500 0.2500  4 Mo 3.18, 4 K 3.18
Cl2 0.7500 0.7500 0.7500  4 K 3.18, 4 Mo 3.18

***

The following is a DFT calculation (PBE) of KMo2Cl8 after structural relaxation.

Computed properties:
- DFT total energy: -47.815 eV per cell
- ΔE_f (raw): -0.935 eV/atom

Unit cell a=4.9642 b=8.8421 c=9.2385 alpha=63.89 beta=74.74 gamma=81.59
With the nearest neighbours (Å) after each atom.
Element x y z (fractional)
K1 0.0000 0.0000 0.0000  6 Cl 3.18-3.20
Mo1 0.2576 0.1976 0.3795  5 Cl 2.27-2.54
Mo2 0.7424 0.8024 0.6205  5 Cl 2.27-2.54
Cl1 0.1280 0.2483 0.6168  1 Mo 2.34
Cl2 0.2424 0.8656 0.5857  3 Mo 2.53-2.71
Cl3 0.2721 0.4742 0.2025  1 Mo 2.27
Cl4 0.3921 0.1070 0.1598  1 Mo 2.40
Cl5 0.6079 0.8930 0.8402  1 Mo 2.40
Cl6 0.7279 0.5258 0.7975  1 Mo 2.27
Cl7 0.7576 0.1344 0.4143  3 Mo 2.53-2.71
Cl8 0.8720 0.7517 0.3832  1 Mo 2.34